Compound: ScHg2Bi2
Source: Alexandria via LeMat-Bulk
Functional: PBE
Structure: optimized geometry

```
ScHg2Bi2
1.0
-0.096 2.991 -7.313
-2.122 -7.054 -2.858
-4.183 1.061 0.488
Sc Bi Hg
2 4 4
direct
0.000 0.000 0.000
0.500 0.500 0.000
0.169 0.669 0.500
0.669 0.831 0.500
0.831 0.331 0.500
0.331 0.169 0.500
0.366 0.866 0.000
0.866 0.634 0.000
0.634 0.134 0.000
0.134 0.366 0.000
```

The value obtained for the total DFT energy (no corrections) is -14.78 eV per formula unit. Its formation energy is -0.0171 eV per atom. The space group is P4/mbm (127). The relative energy among the computed polymorphs is 0 meV/atom.

=====

Compound: ZnTc4W
Source: Alexandria via LeMat-Bulk
Functional: PBE
Structure: optimized geometry

```
ZnTc4W
1.0
0.000 3.599 3.599
3.599 0.000 3.599
3.599 3.599 0.000
Zn Tc W
1 4 1
direct
0.000 0.000 0.000
0.374 0.877 0.374
0.877 0.374 0.374
0.374 0.374 0.877
0.374 0.374 0.374
0.750 0.750 0.750
```

The value obtained for the total DFT energy (no corrections) is -53.89 eV per formula unit. Its formation energy is 0.3002 eV per atom. The space group is F-43m (216).

=====

Compound: LiZnPb
Source: Alexandria via LeMat-Bulk
Functional: PBE
Structure: optimized geometry

```
LiZnPb
1.0
-3.047 -3.319 0.129
1.121 -4.024 1.695
-1.710 -1.337 3.951
Li Pb Zn
1 1 1
direct
0.750 0.750 0.750
0.000 0.000 0.000
0.500 0.500 0.500
```

The value obtained for the total DFT energy (no corrections) is -6.73 eV per formula unit. Its formation energy is 0.0566 eV per atom. The space group is F-43m (216).

=====

Compound: Rb2ZrZnS4
Source: Alexandria via LeMat-Bulk
Functional: PBE
Structure: optimized geometry

```
Rb2ZrZnS4
1.0
-0.725 -0.097 7.160
-1.126 -7.107 -0.217
5.628 2.844 -3.006
Rb Zr Zn S
2 1 1 4
direct
0.486 0.985 0.971
0.235 0.235 0.471
0.986 0.486 0.972
0.736 0.736 0.472
0.711 0.603 0.708
0.869 0.474 0.236
0.367 0.761 0.236
0.998 0.105 0.708
```

The value obtained for the total DFT energy (no corrections) is -38.05 eV per formula unit. The space group is I-4 (82). The value obtained for the raw formation energy is -1.22 eV per atom.

=====

Compound: NaMgPt3
Source: Alexandria via LeMat-Bulk
Functional: PBE
Structure: optimized geometry

```
NaMgPt3
1.0
4.728 0.000 0.000
0.000 4.728 0.000
0.000 0.000 4.728
Na Mg Pt
1 1 3
direct
0.500 0.500 0.500
0.000 0.000 0.000
0.000 0.500 0.000
0.000 0.000 0.500
0.500 0.000 0.000
```

The value obtained for the total DFT energy (no corrections) is -18.64 eV per formula unit. Its formation energy is 0.4797 eV per atom. The space group is Pm-3m (221). The relative energy among the computed polymorphs is 0 meV/atom.

=====

Compound: Sm2TmPbC
Source: Alexandria via LeMat-Bulk
Functional: PBE
Structure: optimized geometry

```
Sm2TmPbC
1.0
4.844 0.000 0.000
0.000 5.062 0.000
0.000 0.000 5.062
Sm Tm Pb C
2 1 1 1
direct
0.000 0.000 0.500
0.000 0.500 0.000
0.500 0.000 0.000
0.500 0.500 0.500
0.000 0.000 0.000
```

The value obtained for the total DFT energy (no corrections) is -29.27 eV per formula unit. Its formation energy is -0.4852 eV per atom. The space group is P4/mmm (123).

=====

Compound: Ac5Zn2Ga
Source: Alexandria via LeMat-Bulk
Functional: PBE
Structure: optimized geometry

```
Ac5Zn2Ga
1.0
-4.625 4.168 -5.059
-2.289 -6.829 -3.534
-3.012 0.705 9.695
Ac Zn Ga
10 4 2
direct
0.523 0.677 0.700
0.823 0.977 0.300
0.000 0.000 0.000
0.500 0.500 0.000
0.177 0.023 0.700
0.677 0.177 0.700
0.023 0.523 0.700
0.323 0.823 0.300
0.977 0.477 0.300
0.477 0.323 0.300
0.114 0.386 0.000
0.614 0.114 0.000
0.386 0.886 0.000
0.886 0.614 0.000
0.750 0.750 0.500
0.250 0.250 0.500
```

The value obtained for the total DFT energy (no corrections) is -27.93 eV per formula unit. Its formation energy is -0.2269 eV per atom. The space group is I4/mcm (140).

=====

Compound: CaHoTm
Source: Alexandria via LeMat-Bulk
Functional: PBE
Structure: optimized geometry

```
CaHoTm
1.0
-2.668 -1.989 -1.414
-1.096 -2.530 5.629
-1.973 9.056 4.856
Ca Ho Tm
2 2 2
direct
0.251 0.250 0.501
0.749 0.750 0.499
0.229 0.142 0.152
0.771 0.858 0.848
0.271 0.359 0.847
0.729 0.641 0.153
```

The value obtained for the total DFT energy (no corrections) is -10.83 eV per formula unit. Its formation energy is 0.0751 eV per atom. The space group is C2/m (12). The relative energy among the computed polymorphs is 0 meV/atom.

=====

Compound: KRbCdPt
Source: Alexandria via LeMat-Bulk
Functional: PBE
Structure: optimized geometry

```
KRbCdPt
1.0
4.736 -0.015 -0.003
-2.354 4.110 0.003
-2.353 -1.371 8.724
K Rb Cd Pt
1 1 1 1
direct
0.006 0.867 0.873
0.348 0.039 0.387
0.502 0.615 0.117
0.836 0.283 0.119
```

The value obtained for the total DFT energy (no corrections) is -9.58 eV per formula unit. Its formation energy is -0.1397 eV per atom. The space group is Cm (8).

=====

Compound: Tm4AlAg2Hg
Source: Alexandria via LeMat-Bulk
Functional: PBE
Structure: optimized geometry

```
Tm4AlAg2Hg
1.0
-5.098 -0.193 0.033
-2.408 -3.317 3.039
-2.678 4.535 7.112
Tm Al Ag Hg
4 1 2 1
direct
0.375 0.375 0.876
0.876 0.876 0.373
0.124 0.124 0.627
0.625 0.625 0.124
0.000 0.000 0.000
0.747 0.747 0.759
0.253 0.253 0.241
0.500 0.500 0.500
```

The value obtained for the total DFT energy (no corrections) is -30.73 eV per formula unit. Its formation energy is -0.3868 eV per atom. The space group is R-3m (166).

=====

Compound: CePr3Y4
Source: Alexandria via LeMat-Bulk
Functional: PBE
Structure: optimized geometry

```
CePr3Y4
1.0
3.430 0.000 -0.433
-0.091 6.090 -0.722
-0.102 0.400 13.001
Pr Y Ce
3 4 1
direct
0.000 0.500 0.000
0.146 0.738 0.293
0.854 0.262 0.707
0.721 0.237 0.442
0.279 0.763 0.558
0.106 0.220 0.211
0.894 0.780 0.789
0.500 0.000 0.000
```

The value obtained for the total DFT energy (no corrections) is -44.16 eV per formula unit. Its formation energy is 0.2461 eV per atom. The space group is C2/m (12).

=====

Compound: U2NbSi2Ru5
Source: Alexandria via LeMat-Bulk
Functional: PBE
Structure: optimized geometry

```
U2NbSi2Ru5
1.0
3.388 0.000 0.000
0.000 9.889 0.000
0.000 0.000 9.889
U Nb Si Ru
4 2 4 10
direct
0.000 0.676 0.176
0.000 0.324 0.824
0.000 0.176 0.324
0.000 0.824 0.676
0.000 0.000 0.000
0.000 0.500 0.500
0.000 0.122 0.622
0.000 0.878 0.378
0.000 0.622 0.878
0.000 0.378 0.122
0.500 0.211 0.071
0.500 0.789 0.929
0.500 0.071 0.789
0.500 0.711 0.429
0.500 0.929 0.211
0.500 0.289 0.571
0.500 0.571 0.711
0.500 0.429 0.289
0.500 0.500 0.000
0.500 0.000 0.500
```

The value obtained for the total DFT energy (no corrections) is -93.78 eV per formula unit. The space group is P4/mbm (127). The value obtained for the raw formation energy is -0.39 eV per atom.

=====

What is the total DFT energy (no corrections) in the third record?
-6.73 eV per formula unit

=====

total DFT energy (no corrections) of number 4 (Rb2ZrZnS4)?
-38.05 eV per formula unit

=====

total DFT energy (no corrections) of number 12 (U2NbSi2Ru5)?
-93.78 eV per formula unit

=====

The highest total DFT energy (no corrections) belongs to which entry?
LiZnPb